Run w
Density functional theory data (PBE) for a relaxed Ce2HfSi crystal.

Space group ... R-3m, No. 166
Crystal system ... trigonal
Calculated volume ... 22.69 Å³/atom
Magnetic moment ... 0.0002 μB per atom

a = 11.257 Å, b = 11.257 Å, c = 11.257 Å
α = 15.68°, β = 15.68°, γ = 15.68°
Element x y z (fractional)
Ce1 0.092 0.092 0.092
Ce2 0.908 0.908 0.908
Hf1 0.000 0.000 0.000
Si1 0.500 0.500 0.500

---

Run x
Density functional theory data (PBE) for a relaxed Ce2HfSi crystal.

Space group ... P4/mmm, No. 123
Crystal system ... tetragonal
Calculated volume ... 21.68 Å³/atom
Magnetic moment ... 0.0000 μB per atom

a = 4.236 Å, b = 4.236 Å, c = 4.833 Å
α = 90.00°, β = 90.00°, γ = 90.00°
Element x y z (fractional)
Ce1 0.000 0.500 0.000
Ce2 0.500 0.000 0.000
Hf1 0.000 0.000 0.500
Si1 0.500 0.500 0.500

---

The structure with the most favorable energy is run x; the runner-up is 426 meV per atom above it.

---

Run w
Density functional theory data (PBE) for a relaxed CeHfSn crystal.

Space group ... P4/nmm, No. 129
Crystal system ... tetragonal
Calculated volume ... 29.70 Å³/atom
Magnetic moment ... 0.4054 μB per atom

a = 5.555 Å, b = 5.555 Å, c = 5.775 Å
α = 90.00°, β = 90.00°, γ = 90.00°
Element x y z (fractional)
Ce1 0.250 0.250 0.157
Ce2 0.750 0.750 0.843
Hf1 0.250 0.250 0.635
Hf2 0.750 0.750 0.365
Sn1 0.250 0.750 0.500
Sn2 0.750 0.250 0.500

---

Run x
Density functional theory data (PBE) for a relaxed CeHfSn crystal.

Space group ... P-6m2, No. 187
Crystal system ... hexagonal
Calculated volume ... 25.95 Å³/atom
Magnetic moment ... 0.3821 μB per atom

a = 5.143 Å, b = 5.143 Å, c = 3.399 Å
α = 90.00°, β = 90.00°, γ = 120.00°
Element x y z (fractional)
Ce1 0.000 0.000 0.000
Hf1 0.667 0.333 0.500
Sn1 0.333 0.667 0.500

---

The structure with the most favorable energy is run x; the runner-up is 265 meV per atom above it.

---

Run w
Density functional theory data (PBE) for a relaxed CeHf2Sn crystal.

Space group ... P4/mmm, No. 123
Crystal system ... tetragonal
Calculated volume ... 23.27 Å³/atom
Magnetic moment ... 0.0001 μB per atom

a = 4.661 Å, b = 4.661 Å, c = 4.284 Å
α = 90.00°, β = 90.00°, γ = 90.00°
Element x y z (fractional)
Ce1 0.000 0.000 0.000
Hf1 0.000 0.500 0.500
Hf2 0.500 0.000 0.500
Sn1 0.500 0.500 0.000

---

Run x
Density functional theory data (PBE) for a relaxed CeHf2Sn crystal.

Space group ... Fm-3m, No. 225
Crystal system ... cubic
Calculated volume ... 22.84 Å³/atom
Magnetic moment ... 0.2622 μB per atom

a = 5.056 Å, b = 5.056 Å, c = 5.056 Å
α = 60.00°, β = 60.00°, γ = 60.00°
Element x y z (fractional)
Ce1 0.000 0.000 0.000
Hf1 0.250 0.250 0.250
Hf2 0.750 0.750 0.750
Sn1 0.500 0.500 0.500

---

The structure with the most favorable energy is run w; the runner-up is 181 meV per atom above it.

---

Run w
Density functional theory data (PBE) for a relaxed Tb2CeHf crystal.

Space group ... R3m, No. 160
Crystal system ... trigonal
Calculated volume ... 28.22 Å³/atom
Magnetic moment ... 0.2475 μB per atom

a = 11.496 Å, b = 11.496 Å, c = 11.496 Å
α = 16.97°, β = 16.97°, γ = 16.97°
Element x y z (fractional)
Tb1 0.000 0.000 0.000
Tb2 0.178 0.178 0.178
Ce1 0.422 0.422 0.422
Hf1 0.589 0.589 0.589

---

Run x
Density functional theory data (PBE) for a relaxed Tb2CeHf crystal.

Space group ... R-3m, No. 166
Crystal system ... trigonal
Calculated volume ... 28.19 Å³/atom
Magnetic moment ... 0.0444 μB per atom

a = 12.047 Å, b = 12.047 Å, c = 12.047 Å
α = 15.78°, β = 15.78°, γ = 15.78°
Element x y z (fractional)
Tb1 0.087 0.087 0.087
Tb2 0.913 0.913 0.913
Ce1 0.500 0.500 0.500
Hf1 0.000 0.000 0.000

---

Run y
Density functional theory data (PBE) for a relaxed Tb2CeHf crystal.

Space group ... P4/mmm, No. 123
Crystal system ... tetragonal
Calculated volume ... 28.25 Å³/atom
Magnetic moment ... 0.0005 μB per atom

a = 4.800 Å, b = 4.800 Å, c = 4.904 Å
α = 90.00°, β = 90.00°, γ = 90.00°
Element x y z (fractional)
Tb1 0.000 0.500 0.000
Tb2 0.500 0.000 0.000
Ce1 0.000 0.000 0.500
Hf1 0.500 0.500 0.500

---

The structure with the most favorable energy is run w; the runner-up is 11 meV per atom above it.

---

Run w
Density functional theory data (PBE) for a relaxed CeHf2Tc crystal.

Space group ... R-3m, No. 166
Crystal system ... trigonal
Calculated volume ... 21.79 Å³/atom
Magnetic moment ... 0.0001 μB per atom

a = 10.310 Å, b = 10.310 Å, c = 10.310 Å
α = 17.57°, β = 17.57°, γ = 17.57°
Element x y z (fractional)
Ce1 0.000 0.000 0.000
Hf1 0.101 0.101 0.101
Hf2 0.899 0.899 0.899
Tc1 0.500 0.500 0.500

---

Run x
Density functional theory data (PBE) for a relaxed CeHf2Tc crystal.

Space group ... P4/mmm, No. 123
Crystal system ... tetragonal
Calculated volume ... 21.71 Å³/atom
Magnetic moment ... 0.0839 μB per atom

a = 3.272 Å, b = 3.272 Å, c = 8.114 Å
α = 90.00°, β = 90.00°, γ = 90.00°
Element x y z (fractional)
Ce1 0.000 0.000 0.000
Hf1 0.500 0.500 0.308
Hf2 0.500 0.500 0.692
Tc1 0.000 0.000 0.500

---

The structure with the most favorable energy is run x; the runner-up is 302 meV per atom above it.

---

Run w
Density functional theory data (PBE) for a relaxed Ce2HfTh crystal.

Space group ... Fm-3m, No. 225
Crystal system ... cubic
Calculated volume ... 27.29 Å³/atom
Magnetic moment ... 0.0017 μB per atom

a = 5.364 Å, b = 5.364 Å, c = 5.364 Å
α = 60.00°, β = 60.00°, γ = 60.00°
Element x y z (fractional)
Ce1 0.250 0.250 0.250
Ce2 0.750 0.750 0.750
Hf1 0.000 0.000 0.000
Th1 0.500 0.500 0.500

---

Run x
Density functional theory data (PBE) for a relaxed Ce2HfTh crystal.

Space group ... P4/mmm, No. 123
Crystal system ... tetragonal
Calculated volume ... 27.37 Å³/atom
Magnetic moment ... 0.0000 μB per atom

a = 3.384 Å, b = 3.384 Å, c = 9.557 Å
α = 90.00°, β = 90.00°, γ = 90.00°
Element x y z (fractional)
Ce1 0.000 0.000 0.242
Ce2 0.000 0.000 0.758
Hf1 0.500 0.500 0.000
Th1 0.500 0.500 0.500

---

Run y
Density functional theory data (PBE) for a relaxed Ce2HfTh crystal.

Space group ... R-3m, No. 166
Crystal system ... trigonal
Calculated volume ... 27.14 Å³/atom
Magnetic moment ... 0.0000 μB per atom

a = 11.994 Å, b = 11.994 Å, c = 11.994 Å
α = 15.59°, β = 15.59°, γ = 15.59°
Element x y z (fractional)
Ce1 0.082 0.082 0.082
Ce2 0.918 0.918 0.918
Hf1 0.000 0.000 0.000
Th1 0.500 0.500 0.500

---

The structure with the most favorable energy is run x; the runner-up is 207 meV per atom above it.

---

Run w
Density functional theory data (PBE) for a relaxed CeHfTh2 crystal.

Space group ... P4/mmm, No. 123
Crystal system ... tetragonal
Calculated volume ... 28.39 Å³/atom
Magnetic moment ... 0.0000 μB per atom

a = 3.493 Å, b = 3.493 Å, c = 9.307 Å
α = 90.00°, β = 90.00°, γ = 90.00°
Element x y z (fractional)
Ce1 0.000 0.000 0.000
Hf1 0.000 0.000 0.500
Th1 0.500 0.500 0.257
Th2 0.500 0.500 0.743

---

Run x
Density functional theory data (PBE) for a relaxed CeHfTh2 crystal.

Space group ... R3m, No. 160
Crystal system ... trigonal
Calculated volume ... 28.23 Å³/atom
Magnetic moment ... 0.0001 μB per atom

a = 11.297 Å, b = 11.297 Å, c = 11.297 Å
α = 17.43°, β = 17.43°, γ = 17.43°
Element x y z (fractional)
Ce1 0.000 0.000 0.000
Hf1 0.168 0.168 0.168
Th1 0.582 0.582 0.582
Th2 0.753 0.753 0.753

---

Run y
Density functional theory data (PBE) for a relaxed CeHfTh2 crystal.

Space group ... R-3m, No. 166
Crystal system ... trigonal
Calculated volume ... 28.88 Å³/atom
Magnetic moment ... 0.0010 μB per atom

a = 12.381 Å, b = 12.381 Å, c = 12.381 Å
α = 15.33°, β = 15.33°, γ = 15.33°
Element x y z (fractional)
Ce1 0.000 0.000 0.000
Hf1 0.500 0.500 0.500
Th1 0.417 0.417 0.417
Th2 0.583 0.583 0.583

---

Run z
Density functional theory data (PBE) for a relaxed CeHfTh2 crystal.

Space group ... Fm-3m, No. 225
Crystal system ... cubic
Calculated volume ... 28.19 Å³/atom
Magnetic moment ... 0.0001 μB per atom

a = 5.423 Å, b = 5.423 Å, c = 5.423 Å
α = 60.00°, β = 60.00°, γ = 60.00°
Element x y z (fractional)
Ce1 0.000 0.000 0.000
Hf1 0.500 0.500 0.500
Th1 0.250 0.250 0.250
Th2 0.750 0.750 0.750

---

The structure with the most favorable energy is run w; the runner-up is 45 meV per atom above it.

---

Run w
Density functional theory data (PBE) for a relaxed CeHf2Th crystal.

Space group ... Fm-3m, No. 225
Crystal system ... cubic
Calculated volume ... 26.19 Å³/atom
Magnetic moment ... 0.1334 μB per atom

a = 5.292 Å, b = 5.292 Å, c = 5.292 Å
α = 60.00°, β = 60.00°, γ = 60.00°
Element x y z (fractional)
Ce1 0.000 0.000 0.000
Hf1 0.250 0.250 0.250
Hf2 0.750 0.750 0.750
Th1 0.500 0.500 0.500

---

Run x
Density functional theory data (PBE) for a relaxed CeHf2Th crystal.

Space group ... P4/mmm, No. 123
Crystal system ... tetragonal
Calculated volume ... 26.42 Å³/atom
Magnetic moment ... 0.0000 μB per atom

a = 3.900 Å, b = 3.900 Å, c = 6.949 Å
α = 90.00°, β = 90.00°, γ = 90.00°
Element x y z (fractional)
Ce1 0.000 0.000 0.000
Hf1 0.500 0.500 0.220
Hf2 0.500 0.500 0.780
Th1 0.000 0.000 0.500

---

The structure with the most favorable energy is run x; the runner-up is 38 meV per atom above it.